# 1
LiVO2: relaxed, GGA-PBEsol.

Properties
- N(E_F): 4.0 states/eV per cell
- ΔE_f (raw): -218.9 kJ/mol of atoms

Cell lengths 2.7405, 2.7405, 10.1037 Å; angles 90.00, 90.00, 120.00 degrees
Space group P6_3mc (No. 186)
Inequivalent atoms, fractional coordinates:
Li (0.3333, 0.6667, 0.0000) [2 per cell]
V (0.3333, 0.6667, 0.2555) [2 per cell]
O (0.0000, 0.0000, 0.3755) [2 per cell]
O (0.3333, 0.6667, 0.6354) [2 per cell]

# 2
Li4V5O12: relaxed, GGA-PBEsol.

Properties
- N(E_F): 27.8 states/eV per cell
- ΔE_f (raw): -222.5 kJ/mol of atoms

Cell lengths 8.7798, 8.9424, 15.1531 Å; angles 90.00, 124.52, 90.00 degrees
Space group P2_1/c (No. 14)
Inequivalent atoms, fractional coordinates:
Li (0.0091, 0.2256, 0.1913) [4 per cell]
Li (0.1765, 0.6749, 0.0361) [4 per cell]
Li (0.2575, 0.5929, 0.2693) [4 per cell]
Li (0.3694, 0.0773, 0.2985) [4 per cell]
V (0.0367, 0.6186, 0.6406) [4 per cell]
V (0.1359, 0.0295, 0.3807) [4 per cell]
V (0.2600, 0.1235, 0.6455) [4 per cell]
V (0.3610, 0.0231, 0.1110) [4 per cell]
V (0.4605, 0.7491, 0.9914) [4 per cell]
O (0.0213, 0.7082, 0.1891) [4 per cell]
O (0.1045, 0.0762, 0.6793) [4 per cell]
O (0.1131, 0.0124, 0.2427) [4 per cell]
O (0.1659, 0.0634, 0.5163) [4 per cell]
O (0.1742, 0.0653, 0.9666) [4 per cell]
O (0.1966, 0.6382, 0.6082) [4 per cell]
O (0.2341, 0.6768, 0.9301) [4 per cell]
O (0.2783, 0.1839, 0.1631) [4 per cell]
O (0.3709, 0.1174, 0.4307) [4 per cell]
O (0.4511, 0.0084, 0.7307) [4 per cell]
O (0.4744, 0.6736, 0.3910) [4 per cell]
O (0.4807, 0.6244, 0.5817) [4 per cell]

# 3
Li3V7O12: relaxed, GGA-PBEsol.

Properties
- N(E_F): 16.6 states/eV per cell
- ΔE_f (raw): -219.8 kJ/mol of atoms

Cell lengths 4.7936, 8.5228, 9.4681 Å; angles 90.00, 100.46, 90.00 degrees
Space group C2 (No. 5)
Inequivalent atoms, fractional coordinates:
Li (0.0000, 0.0000, 0.0000) [2 per cell]
Li (0.2389, 0.0125, 0.7537) [4 per cell]
V (0.0000, 0.2021, 0.5000) [2 per cell]
V (0.0000, 0.3393, 0.0000) [2 per cell]
V (0.0000, 0.4806, 0.5000) [2 per cell]
V (0.0000, 0.6843, 0.0000) [2 per cell]
V (0.0000, 0.8439, 0.5000) [2 per cell]
V (0.2504, 0.1801, 0.2294) [4 per cell]
O (0.1160, 0.6673, 0.3823) [4 per cell]
O (0.1182, 0.8486, 0.8744) [4 per cell]
O (0.1209, 0.5142, 0.8797) [4 per cell]
O (0.1257, 0.1745, 0.8824) [4 per cell]
O (0.1256, 0.3401, 0.3600) [4 per cell]
O (0.1272, 0.0242, 0.3816) [4 per cell]

# 4
Li2V18O39: relaxed, GGA-PBEsol.

Properties
- N(E_F): 35.9 states/eV per cell
- ΔE_f (raw): -228.2 kJ/mol of atoms

Cell lengths 21.2766, 3.7044, 16.8099 Å; angles 90.00, 103.46, 90.00 degrees
Space group C2/m (No. 12)
Inequivalent atoms, fractional coordinates:
Li (0.2046, 0.0000, 0.3090) [4 per cell]
V (0.0256, 0.5000, 0.6863) [4 per cell]
V (0.0482, 0.0000, 0.0987) [4 per cell]
V (0.0736, 0.5000, 0.5159) [4 per cell]
V (0.0915, 0.0000, 0.8188) [4 per cell]
V (0.1151, 0.5000, 0.2313) [4 per cell]
V (0.1408, 0.0000, 0.6474) [4 per cell]
V (0.1918, 0.0000, 0.0195) [4 per cell]
V (0.2138, 0.5000, 0.4376) [4 per cell]
V (0.2406, 0.0000, 0.8486) [4 per cell]
O (0.0000, 0.0000, 0.0000) [2 per cell]
O (0.0084, 0.5000, 0.4265) [4 per cell]
O (0.0258, 0.0000, 0.8577) [4 per cell]
O (0.0416, 0.5000, 0.2803) [4 per cell]
O (0.0504, 0.0000, 0.6959) [4 per cell]
O (0.0620, 0.5000, 0.1225) [4 per cell]
O (0.0782, 0.0000, 0.5426) [4 per cell]
O (0.0883, 0.5000, 0.7917) [4 per cell]
O (0.1111, 0.0000, 0.2206) [4 per cell]
O (0.1163, 0.5000, 0.6385) [4 per cell]
O (0.1250, 0.0000, 0.0535) [4 per cell]
O (0.1405, 0.5000, 0.4774) [4 per cell]
O (0.1576, 0.0000, 0.9072) [4 per cell]
O (0.1679, 0.5000, 0.3344) [4 per cell]
O (0.1745, 0.0000, 0.7604) [4 per cell]
O (0.1954, 0.5000, 0.1948) [4 per cell]
O (0.2092, 0.0000, 0.6158) [4 per cell]
O (0.2174, 0.5000, 0.0295) [4 per cell]
O (0.2257, 0.0000, 0.4489) [4 per cell]
O (0.2444, 0.5000, 0.8747) [4 per cell]

# 5
Li2V3O8: relaxed, GGA-PBEsol.

Properties
- ΔE_f (raw): -219.0 kJ/mol of atoms

Cell lengths 8.6956, 8.6956, 5.4152 Å; angles 90.00, 90.00, 90.00 degrees
Space group P4bm (No. 100)
Inequivalent atoms, fractional coordinates:
Li (0.2446, 0.2554, 0.0000) [4 per cell]
V (0.0000, 0.0000, 0.6661) [2 per cell]
V (0.1443, 0.6443, 0.5883) [4 per cell]
O (0.0000, 0.0000, 0.3728) [2 per cell]
O (0.0000, 0.5000, 0.5934) [2 per cell]
O (0.0843, 0.8024, 0.7589) [8 per cell]
O (0.1912, 0.6912, 0.3058) [4 per cell]

# 6
LiV18O44: relaxed, GGA-PBEsol.

Properties
- N(E_F): 10.7 states/eV per cell
- ΔE_f (raw): -220.4 kJ/mol of atoms

Cell lengths 10.1018, 3.5899, 21.2346 Å; angles 90.00, 101.89, 90.00 degrees
Space group Pm (No. 6)
Inequivalent atoms, fractional coordinates:
Li (0.0000, 0.0000, 0.0000) [1 per cell]
V (0.0394, 0.0000, 0.4173) [1 per cell]
V (0.0385, 0.0000, 0.8437) [1 per cell]
V (0.1990, 0.0000, 0.7321) [1 per cell]
V (0.2080, 0.0000, 0.1685) [1 per cell]
V (0.2308, 0.0000, 0.5686) [1 per cell]
V (0.3574, 0.0000, 0.0514) [1 per cell]
V (0.3868, 0.0000, 0.4524) [1 per cell]
V (0.3903, 0.0000, 0.8856) [1 per cell]
V (0.4523, 0.5000, 0.7626) [1 per cell]
V (0.5568, 0.0000, 0.1969) [1 per cell]
V (0.6168, 0.5000, 0.0736) [1 per cell]
V (0.6251, 0.5000, 0.5066) [1 per cell]
V (0.6504, 0.5000, 0.9076) [1 per cell]
V (0.7810, 0.5000, 0.3908) [1 per cell]
V (0.8017, 0.5000, 0.7911) [1 per cell]
V (0.8092, 0.5000, 0.2267) [1 per cell]
V (0.9702, 0.5000, 0.1158) [1 per cell]
V (0.9728, 0.5000, 0.5415) [1 per cell]
O (0.0017, 0.5000, 0.8215) [1 per cell]
O (0.0054, 0.0000, 0.1360) [1 per cell]
O (0.0047, 0.0000, 0.5254) [1 per cell]
O (0.0069, 0.5000, 0.4332) [1 per cell]
O (0.0398, 0.0000, 0.7314) [1 per cell]
O (0.0548, 0.0000, 0.9203) [1 per cell]
O (0.0673, 0.0000, 0.3470) [1 per cell]
O (0.1685, 0.5000, 0.1460) [1 per cell]
O (0.1758, 0.5000, 0.5587) [1 per cell]
O (0.1952, 0.0000, 0.0429) [1 per cell]
O (0.2125, 0.0000, 0.6520) [1 per cell]
O (0.2141, 0.0000, 0.4684) [1 per cell]
O (0.2168, 0.0000, 0.8376) [1 per cell]
O (0.2406, 0.0000, 0.2438) [1 per cell]
O (0.2541, 0.5000, 0.7470) [1 per cell]
O (0.3603, 0.0000, 0.3770) [1 per cell]
O (0.3661, 0.0000, 0.9609) [1 per cell]
O (0.3765, 0.0000, 0.1471) [1 per cell]
O (0.3904, 0.0000, 0.5739) [1 per cell]
O (0.4120, 0.5000, 0.0554) [1 per cell]
O (0.4204, 0.5000, 0.8735) [1 per cell]
O (0.4257, 0.0000, 0.7828) [1 per cell]
O (0.4261, 0.5000, 0.4752) [1 per cell]
O (0.4789, 0.5000, 0.6922) [1 per cell]
O (0.5308, 0.0000, 0.2674) [1 per cell]
O (0.5843, 0.0000, 0.0856) [1 per cell]
O (0.5836, 0.5000, 0.1766) [1 per cell]
O (0.5859, 0.0000, 0.4838) [1 per cell]
O (0.5946, 0.0000, 0.9039) [1 per cell]
O (0.6213, 0.5000, 0.3848) [1 per cell]
O (0.6318, 0.5000, 0.8127) [1 per cell]
O (0.6399, 0.5000, 0.9984) [1 per cell]
O (0.6519, 0.5000, 0.5820) [1 per cell]
O (0.7545, 0.0000, 0.2115) [1 per cell]
O (0.7682, 0.5000, 0.7158) [1 per cell]
O (0.7905, 0.5000, 0.1199) [1 per cell]
O (0.7976, 0.5000, 0.4903) [1 per cell]
O (0.7999, 0.5000, 0.3068) [1 per cell]
O (0.8117, 0.5000, 0.9176) [1 per cell]
O (0.8357, 0.0000, 0.3998) [1 per cell]
O (0.8394, 0.0000, 0.8139) [1 per cell]
O (0.9445, 0.5000, 0.6117) [1 per cell]
O (0.9563, 0.5000, 0.0379) [1 per cell]
O (0.9682, 0.5000, 0.2253) [1 per cell]